(w)
The following is a GGA-PBE calculation of an optimized crystal structure of Sr2Zr, from OQMD.

a b c (Å): 10.224 10.224 10.224
angles (deg): 60.00 60.00 60.00
Site moments in Bohr magnetons follow the coordinates.
Positions (direct):
Sr: 0.375 0.875 0.375  0.28
Sr: 0.375 0.375 0.375  0.28
Sr: 0.875 0.375 0.375  0.27
Sr: 0.375 0.375 0.875  0.28
Zr: 0.250 0.250 0.250  1.99
Zr: 0.500 0.500 0.500  1.99

Spin magnetization, μB per formula unit: 6.0
SG: Fd-3m, No. 227

=====

(x)
The following is a GGA-PBE calculation of an optimized crystal structure of Sr2Zr, from OQMD.

a b c (Å): 6.907 6.907 6.907
angles (deg): 60.00 60.00 60.00
Site moments in Bohr magnetons follow the coordinates.
Positions (direct):
Sr: 0.625 0.125 0.625  0.10
Sr: 0.625 0.625 0.125  0.11
Sr: 0.125 0.625 0.625  0.09
Sr: 0.625 0.625 0.625  0.10
Zr: 0.250 0.250 0.250  1.12
Zr: 0.000 0.000 0.000  1.12

Spin magnetization, μB per formula unit: 2.8
SG: Fd-3m, No. 227

=====

(x) (82.3 kJ/mol of atoms below the next structure)

=====

(w)
The following is a GGA-PBE calculation of an optimized crystal structure of YTaTc, from OQMD.

a b c (Å): 4.548 4.548 4.548
angles (deg): 60.00 60.00 60.00
Positions (direct):
Y: 0.250 0.250 0.250
Tc: 0.000 0.000 0.000
Ta: 0.500 0.500 0.500

Spin magnetization, μB per formula unit: 0.0
SG: F-43m, No. 216

=====

(x)
The following is a GGA-PBE calculation of an optimized crystal structure of YTaTc, from OQMD.

a b c (Å): 4.557 4.557 4.557
angles (deg): 60.00 60.00 60.00
Positions (direct):
Y: 0.750 0.750 0.750
Ta: 0.250 0.250 0.250
Tc: 0.000 0.000 0.000

Spin magnetization, μB per formula unit: 0.0
SG: F-43m, No. 216

=====

(x) (119.0 kJ/mol of atoms below the next structure)

=====

(w)
The following is a GGA-PBE calculation of an optimized crystal structure of TaTlTe, from OQMD.

a b c (Å): 4.850 4.850 4.850
angles (deg): 60.00 60.00 60.00
Positions (direct):
Ta: 0.250 0.250 0.250
Te: 0.000 0.000 0.000
Tl: 0.750 0.750 0.750

Spin magnetization, μB per formula unit: 0.0
SG: F-43m, No. 216

=====

(x)
The following is a GGA-PBE calculation of an optimized crystal structure of TaTlTe, from OQMD.

a b c (Å): 4.811 4.811 4.811
angles (deg): 60.00 60.00 60.00
Positions (direct):
Ta: 0.000 0.000 0.000
Tl: 0.750 0.750 0.750
Te: 0.250 0.250 0.250

Spin magnetization, μB per formula unit: 0.2
SG: F-43m, No. 216

=====

(x) (28.9 kJ/mol of atoms below the next structure)

=====

(w)
The following is a GGA-PBE calculation of an optimized crystal structure of TmTa, from OQMD.

a b c (Å): 4.597 4.597 4.597
angles (deg): 60.00 60.00 60.00
Site moments in Bohr magnetons follow the coordinates.
Positions (direct):
Ta: 0.000 0.000 0.000  1.46
Tm: 0.250 0.250 0.250  0.79

Spin magnetization, μB per formula unit: 2.6
SG: F-43m, No. 216

=====

(x)
The following is a GGA-PBE calculation of an optimized crystal structure of TmTa, from OQMD.

a b c (Å): 4.141 4.141 4.141
angles (deg): 60.00 60.00 60.00
Site moments in Bohr magnetons follow the coordinates.
Positions (direct):
Ta: 0.000 0.000 0.000  0.05
Tm: 0.500 0.500 0.500  0.03

Spin magnetization, μB per formula unit: 0.1
SG: Fm-3m, No. 225

=====

(y)
The following is a GGA-PBE calculation of an optimized crystal structure of TmTa, from OQMD.

a b c (Å): 5.094 5.094 4.952
angles (deg): 90.00 90.00 120.00
Positions (direct):
Ta: 0.000 0.000 0.500
Ta: 0.000 0.000 0.000
Tm: 0.333 0.667 0.750
Tm: 0.667 0.333 0.250

Spin magnetization, μB per formula unit: 0.0
SG: P6_3/mmc, No. 194

=====

(z)
The following is a GGA-PBE calculation of an optimized crystal structure of TmTa, from OQMD.

a b c (Å): 3.569 3.569 7.747
angles (deg): 90.00 90.00 120.00
Positions (direct):
Ta: 0.667 0.333 0.250
Ta: 0.333 0.667 0.750
Tm: 0.000 0.000 0.000
Tm: 0.000 0.000 0.500

Spin magnetization, μB per formula unit: 0.0
SG: P6_3/mmc, No. 194

=====

(y) (34.7 kJ/mol of atoms below the next structure)

=====

(w)
The following is a GGA-PBE calculation of an optimized crystal structure of TmTaZn, from OQMD.

a b c (Å): 4.538 4.538 4.538
angles (deg): 60.00 60.00 60.00
Positions (direct):
Zn: 0.000 0.000 0.000
Tm: 0.750 0.750 0.750
Ta: 0.250 0.250 0.250

Spin magnetization, μB per formula unit: 0.1
SG: F-43m, No. 216

=====

(x)
The following is a GGA-PBE calculation of an optimized crystal structure of TmTaZn, from OQMD.

a b c (Å): 4.720 4.720 4.720
angles (deg): 60.00 60.00 60.00
Positions (direct):
Tm: 0.000 0.000 0.000
Ta: 0.250 0.250 0.250
Zn: 0.750 0.750 0.750

Spin magnetization, μB per formula unit: 2.3
SG: F-43m, No. 216

=====

(w) (71.9 kJ/mol of atoms below the next structure)

=====

(w)
The following is a GGA-PBE calculation of an optimized crystal structure of UTa, from OQMD.

a b c (Å): 2.974 2.974 5.297
angles (deg): 90.00 90.00 120.00
Site moments in Bohr magnetons follow the coordinates.
Positions (direct):
U: 0.333 0.667 0.250  0.65
Ta: 0.667 0.333 0.750  -0.05

Spin magnetization, μB per formula unit: 0.7
SG: P-6m2, No. 187

=====

(x)
The following is a GGA-PBE calculation of an optimized crystal structure of UTa, from OQMD.

a b c (Å): 4.242 4.242 4.242
angles (deg): 60.00 60.00 60.00
Positions (direct):
Ta: 0.000 0.000 0.000
U: 0.250 0.250 0.250

Spin magnetization, μB per formula unit: 0.0
SG: F-43m, No. 216

=====

(y)
The following is a GGA-PBE calculation of an optimized crystal structure of UTa, from OQMD.

a b c (Å): 3.980 3.980 3.980
angles (deg): 60.00 60.00 60.00
Site moments in Bohr magnetons follow the coordinates.
Positions (direct):
Ta: 0.000 0.000 0.000  0.07
U: 0.500 0.500 0.500  0.36

Spin magnetization, μB per formula unit: 0.4
SG: Fm-3m, No. 225

=====

(w) (86.3 kJ/mol of atoms below the next structure)

=====

(w)
The following is a GGA-PBE calculation of an optimized crystal structure of UTaZn, from OQMD.

a b c (Å): 4.568 4.568 4.568
angles (deg): 60.00 60.00 60.00
Positions (direct):
Ta: 0.250 0.250 0.250
U: 0.000 0.000 0.000
Zn: 0.750 0.750 0.750

Spin magnetization, μB per formula unit: 0.1
SG: F-43m, No. 216

=====

(x)
The following is a GGA-PBE calculation of an optimized crystal structure of UTaZn, from OQMD.

a b c (Å): 4.502 4.502 4.502
angles (deg): 60.00 60.00 60.00
Site moments in Bohr magnetons follow the coordinates.
Positions (direct):
Ta: 0.750 0.750 0.750  0.13
Zn: 0.000 0.000 0.000  -0.01
U: 0.250 0.250 0.250  1.45

Spin magnetization, μB per formula unit: 1.7
SG: F-43m, No. 216

=====

(x) (42.0 kJ/mol of atoms below the next structure)

=====

(w)
The following is a GGA-PBE calculation of an optimized crystal structure of Ta4W9, from OQMD.

a b c (Å): 9.928 9.928 9.928
angles (deg): 30.69 30.69 30.69
Positions (direct):
W: 0.413 0.908 0.908
W: 0.350 0.350 0.350
W: 0.908 0.413 0.908
W: 0.000 0.000 0.000
W: 0.587 0.092 0.092
W: 0.650 0.650 0.650
W: 0.092 0.092 0.587
W: 0.092 0.587 0.092
W: 0.908 0.908 0.413
Ta: 0.548 0.548 0.548
Ta: 0.452 0.452 0.452
Ta: 0.832 0.832 0.832
Ta: 0.168 0.168 0.168

Spin magnetization, μB per formula unit: 0.0
SG: R-3m, No. 166

=====

(x)
The following is a GGA-PBE calculation of an optimized crystal structure of Ta4W9, from OQMD.

a b c (Å): 9.953 9.953 9.953
angles (deg): 30.51 30.51 30.51
Positions (direct):
W: 0.091 0.091 0.586
W: 0.414 0.909 0.909
W: 0.545 0.545 0.545
W: 0.586 0.091 0.091
W: 0.909 0.414 0.909
W: 0.909 0.909 0.414
W: 0.091 0.586 0.091
W: 0.455 0.455 0.455
W: 0.000 0.000 0.000
Ta: 0.351 0.351 0.351
Ta: 0.649 0.649 0.649
Ta: 0.168 0.168 0.168
Ta: 0.832 0.832 0.832

Spin magnetization, μB per formula unit: 0.0
SG: R-3m, No. 166

=====

(x) (12.4 kJ/mol of atoms below the next structure)